First-principles (PBE-GGA) data for NbAgIr2 after structural relaxation, as listed in the Open Quantum Materials Database.

Cell and atoms, written as CIF:
```
data_NbAgIr2
_chemical_formula_sum 'Nb4 Ag4 Ir8'
_symmetry_space_group_name_H-M 'F -4 3 m'
_symmetry_Int_Tables_number 216
_symmetry_space_group_name_Hall 'F -4 2 3'
_cell_length_a 6.373
_cell_length_b 6.373
_cell_length_c 6.373
_cell_angle_alpha 90.00
_cell_angle_beta 90.00
_cell_angle_gamma 90.00
loop_
_atom_site_label
_atom_site_fract_x
_atom_site_fract_y
_atom_site_fract_z
_atom_site_occupancy
Nb1 0.000 0.000 0.000 1
Ag1 0.250 0.250 0.250 1
Ir1 0.000 0.000 0.500 1
Ir2 0.250 0.250 0.750 1
```

***

First-principles (PBE-GGA) data for PrGdZn2Au4 after structural relaxation, as listed in the Open Quantum Materials Database.

Cell and atoms, written as CIF:
```
data_PrGdZn2Au4
_chemical_formula_sum 'Pr1 Gd1 Zn2 Au4'
_symmetry_space_group_name_H-M 'P 4/m m m'
_symmetry_Int_Tables_number 123
_symmetry_space_group_name_Hall '-P 4 2'
_cell_length_a 4.919
_cell_length_b 4.919
_cell_length_c 6.962
_cell_angle_alpha 90.00
_cell_angle_beta 90.00
_cell_angle_gamma 90.00
loop_
_atom_site_label
_atom_site_fract_x
_atom_site_fract_y
_atom_site_fract_z
_atom_site_occupancy
Pr1 0.000 0.000 0.000 1
Gd1 0.500 0.500 0.500 1
Zn1 0.000 0.000 0.500 1
Zn2 0.500 0.500 0.000 1
Au1 0.000 0.500 0.260 1
```

***

| no. | total moment (μB per cell) | energy of formation from the pure elements (meV per atom) |
| --- | --- | --- |
| 1 | 0.0 | 250 |
| 2 | 0.0 | -596 |